1.
The following is a DFT calculation (PBE) of crystalline NaTlPtPb at its relaxed geometry.

## Properties
Energy: -3.579 eV per atom
Density: 10.48 g cm⁻³
Energy above the lowest structure with this stoichiometry: 0.00 eV/f.u.

CIF file:
```
data_NaTlPtPb
_space_group_name_H-M_alt 'P 1 21 1'
_space_group_IT_number 4
_space_group_name_Hall 'P 2yb'
_cell_length_a 4.3498
_cell_length_b 8.2325
_cell_length_c 5.9773
_cell_angle_alpha 90.00
_cell_angle_beta 111.22
_cell_angle_gamma 90.00
loop_
_atom_site_label
_atom_site_fract_x
_atom_site_fract_y
_atom_site_fract_z
_atom_site_occupancy
Na1 0.0678 0.0000 0.1340 1
Tl1 0.3625 0.2073 0.7277 1
Pt1 0.2172 0.5016 0.4323 1
Pb1 0.3541 0.7996 0.7101 1
```



2.
The following is a DFT calculation (PBE) of crystalline NaTlPtPb at its relaxed geometry.

## Properties
Energy: -3.478 eV per atom
Density: 11.75 g cm⁻³
Energy above the lowest structure with this stoichiometry: 0.40 eV/f.u.

CIF file:
```
data_NaTlPtPb
_space_group_name_H-M_alt 'F -4 3 m'
_space_group_IT_number 216
_space_group_name_Hall 'F -4 2 3'
_cell_length_a 7.0869
_cell_length_b 7.0869
_cell_length_c 7.0869
_cell_angle_alpha 90.00
_cell_angle_beta 90.00
_cell_angle_gamma 90.00
loop_
_atom_site_label
_atom_site_fract_x
_atom_site_fract_y
_atom_site_fract_z
_atom_site_occupancy
Na1 0.0000 0.0000 0.0000 1
Tl1 0.2500 0.2500 0.7500 1
Pt1 0.0000 0.0000 0.5000 1
Pb1 0.2500 0.2500 0.2500 1
```



3.
The following is a DFT calculation (PBE) of crystalline NaTlPtPb at its relaxed geometry.

## Properties
Energy: -3.387 eV per atom
Density: 11.08 g cm⁻³
Energy above the lowest structure with this stoichiometry: 0.77 eV/f.u.

CIF file:
```
data_NaTlPtPb
_space_group_name_H-M_alt 'F -4 3 m'
_space_group_IT_number 216
_space_group_name_Hall 'F -4 2 3'
_cell_length_a 7.2268
_cell_length_b 7.2268
_cell_length_c 7.2268
_cell_angle_alpha 90.00
_cell_angle_beta 90.00
_cell_angle_gamma 90.00
loop_
_atom_site_label
_atom_site_fract_x
_atom_site_fract_y
_atom_site_fract_z
_atom_site_occupancy
Na1 0.0000 0.0000 0.0000 1
Tl1 0.2500 0.2500 0.7500 1
Pt1 0.2500 0.2500 0.2500 1
Pb1 0.0000 0.0000 0.5000 1
```